Record 1
Entry from Alexandria: Fe2MoCl at its PBEsol-relaxed geometry (meta-GGA SCAN).

Unit cell a=2.754 b=4.238 c=4.388 alpha=90.00 beta=90.00 gamma=90.00
Element x y z (fractional)
Mo: 0.500 0.000 0.500
Fe: 0.000 0.000 0.000
Fe: 0.500 0.500 0.000
Cl: 0.000 0.500 0.500

Energy relative to the elements, uncorrected in meV per atom: 702

---

Record 2
Entry from Alexandria: CaFe4Sb at its PBEsol-relaxed geometry (meta-GGA SCAN).

Unit cell a=4.957 b=4.957 c=4.957 alpha=60.00 beta=60.00 gamma=60.00
Element x y z (fractional)
Ca: 0.000 0.000 0.000
Fe: 0.874 0.375 0.375
Fe: 0.375 0.375 0.375
Fe: 0.375 0.375 0.874
Fe: 0.375 0.874 0.375
Sb: 0.750 0.750 0.750

Energy relative to the elements, uncorrected in meV per atom: 123

---

Record 3
Entry from Alexandria: ErAl3 at its PBEsol-relaxed geometry (meta-GGA SCAN).

Unit cell a=4.191 b=4.191 c=4.191 alpha=90.00 beta=90.00 gamma=90.00
Element x y z (fractional)
Al: 0.000 0.500 0.500
Al: 0.500 0.000 0.500
Al: 0.500 0.500 0.000
Er: 0.000 0.000 0.000

Energy of formation from the pure elements in eV/atom: -0.4462

---

Record 4
Entry from Alexandria: ScBeCoCu2 at its PBEsol-relaxed geometry (meta-GGA SCAN).

Unit cell a=4.286 b=4.399 c=4.399 alpha=90.00 beta=90.00 gamma=90.00
Element x y z (fractional)
Sc: 0.500 0.000 0.000
Be: 0.500 0.500 0.500
Co: 0.000 0.000 0.000
Cu: 0.000 0.000 0.500
Cu: 0.000 0.500 0.000

Energy of formation from the pure elements in eV/atom: 0.8565

---

Record 5
Entry from Alexandria: CoCu3 at its PBEsol-relaxed geometry (meta-GGA SCAN).

Unit cell a=2.480 b=2.480 c=8.286 alpha=90.00 beta=90.00 gamma=120.00
Element x y z (fractional)
Co: 0.000 0.000 0.000
Cu: 0.000 0.000 0.500
Cu: 0.667 0.333 0.752
Cu: 0.667 0.333 0.248

Energy of formation from the pure elements in eV/atom: 0.0829

---

Record 6
Entry from Alexandria: KCrMo2O8 at its PBEsol-relaxed geometry (meta-GGA SCAN).

Unit cell a=5.633 b=8.958 c=9.290 alpha=118.29 beta=107.65 gamma=90.00
Element x y z (fractional)
K: 0.829 0.250 0.000
K: 0.171 0.750 0.000
Cr: 0.000 0.500 0.500
Cr: 0.500 0.000 0.500
Mo: 0.876 0.770 0.307
Mo: 0.569 0.730 0.693
Mo: 0.124 0.230 0.693
Mo: 0.431 0.270 0.307
O: 0.863 0.070 0.631
O: 0.137 0.930 0.369
O: 0.232 0.430 0.369
O: 0.768 0.570 0.631
O: 0.161 0.391 0.899
O: 0.839 0.609 0.101
O: 0.261 0.109 0.101
O: 0.739 0.891 0.899
O: 0.061 0.319 0.554
O: 0.939 0.681 0.446
O: 0.507 0.181 0.446
O: 0.493 0.819 0.554
O: 0.711 0.350 0.293
O: 0.289 0.650 0.707
O: 0.418 0.150 0.707
O: 0.582 0.850 0.293

Energy relative to the elements, uncorrected in meV per atom: -2296

---

Record 7
Entry from Alexandria: MgSbO2F at its PBEsol-relaxed geometry (meta-GGA SCAN).

Unit cell a=4.219 b=4.219 c=4.304 alpha=90.00 beta=90.00 gamma=90.00
Element x y z (fractional)
Sb: 0.000 0.000 0.000
Mg: 0.500 0.500 0.500
O: 0.000 0.500 0.000
O: 0.500 0.000 0.000
F: 0.000 0.000 0.500

Energy relative to the elements, uncorrected in meV per atom: -1210

---

Record 8
Entry from Alexandria: NiAs2 at its PBEsol-relaxed geometry (meta-GGA SCAN).

Unit cell a=5.709 b=5.709 c=5.709 alpha=90.00 beta=90.00 gamma=90.00
Element x y z (fractional)
As: 0.376 0.376 0.376
As: 0.124 0.624 0.876
As: 0.624 0.876 0.124
As: 0.876 0.124 0.624
As: 0.624 0.624 0.624
As: 0.876 0.376 0.124
As: 0.376 0.124 0.876
As: 0.124 0.876 0.376
Ni: 0.000 0.000 0.000
Ni: 0.500 0.000 0.500
Ni: 0.000 0.500 0.500
Ni: 0.500 0.500 0.000

Energy of formation from the pure elements in eV/atom: -0.3033